NaRe2Ru (PBE, relaxed); raw total energy = -61.24 eV for the cell shown
1.0
-3.751 3.751 2.564
3.751 -3.751 2.564
3.751 3.751 -2.564
Na Re Ru
2 4 2
Direct
0.000 0.000 0.000 Na
0.750 0.250 0.500 Na
0.185 0.125 0.560 Re
0.375 0.815 0.940 Re
0.565 0.625 0.440 Re
0.875 0.435 0.060 Re
0.250 0.750 0.500 Ru
0.500 0.500 0.000 Ru